Compound: DyGaGe
Source: Alexandria via LeMat-Bulk
Functional: PBE-GGA
Structure: relaxed

Calculated values
Magnetic moment (μB per formula unit): 0.00
E_tot (eV/cell): -14.1
Energy of formation from the pure elements (eV per atom): -0.632

Cell: 4.2959 4.1380 4.1380 Å, 120.00 90.00 90.00°
Fractional positions:
Dy (0.6701, 0.6667, 0.3333)
Ga (0.0737, 0.0000, 0.0000)
Ge (0.2562, 0.3333, 0.6667)